# 1
NaAg2Rh (PBE, optimized geometry); crystal system = tetragonal; ΔE_f = 0.507 eV/atom; excess energy over the best structure of this formula in the dataset = 274 meV per atom; total magnetic moment = 0.000 μB per atom; E = -3.0863 eV per atom
1.0
3.9649 0.0000 0.0000
0.0000 3.9649 0.0000
1.9825 1.9825 9.7600
Rh Ag Na
2 4 2
direct
0.0000 0.0000 0.0000
0.7500 0.2500 0.5000
0.6312 0.1250 0.2500
0.3750 0.3688 0.7500
0.8750 0.8812 0.7500
0.1188 0.6250 0.2500
0.5000 0.5000 0.0000
0.2500 0.7500 0.5000

# 2
CaVTe2H (PBE, optimized geometry); crystal system = tetragonal; total magnetic moment = 0.419 μB per atom; E = -4.6496 eV per atom
1.0
5.4710 0.0000 0.0000
0.0000 5.4710 0.0000
0.0000 0.0000 3.7802
H V Te Ca
1 1 2 1
direct
0.0000 0.0000 0.5000
0.0000 0.0000 0.0000
0.5000 0.0000 0.0000
0.0000 0.5000 0.0000
0.5000 0.5000 0.5000

# 3
Pu3ScRu4 (PBE, optimized geometry); crystal system = tetragonal; ΔE_f = -0.261 eV/atom; total magnetic moment = 1.600 μB per atom; E = -11.0650 eV per atom
1.0
4.5487 0.0000 -1.2279
-0.3248 4.5381 -1.2031
-0.4284 -0.4991 7.4526
Ru Pu Sc
4 3 1
direct
0.3777 0.3777 0.7554
0.1223 0.1221 0.2447
0.8777 0.8779 0.7553
0.6223 0.6223 0.2446
0.2538 0.7537 0.5077
0.7462 0.2463 0.4923
0.0000 0.5000 0.0000
0.5000 0.0000 0.0000